No. 1
An optimized crystal structure of K2CrSb, computed with PBE.

SG	Imm2, No. 44
energy relative to the elements, uncorrected	0.084	eV/atom

a = 6.269 Å, b = 6.269 Å, c = 6.269 Å
α = 133.33°, β = 121.44°, γ = 78.01°
Last column: magnetic moment on the atom in μB.
Element x y z (fractional)
Cr  0.326  0.826  0.500  4.03
K  0.029  0.029  0.000  0.02
K  0.717  0.217  0.500  0.01
Sb  0.428  0.428  0.000  -0.07



No. 2
An optimized crystal structure of KCr2Sb, computed with PBE.

SG	P4mm, No. 99
energy relative to the elements, uncorrected	0.359	eV/atom

a = 3.297 Å, b = 3.297 Å, c = 8.339 Å
α = 90.00°, β = 90.00°, γ = 90.00°
Last column: magnetic moment on the atom in μB.
Element x y z (fractional)
Cr  0.000  0.000  0.033  -2.63
Cr  0.500  0.500  0.158  3.02
K  0.000  0.000  0.490  0.03
Sb  0.500  0.500  0.820  0.06